(1)
Below is a PBEsol-optimized structure of SrInHg4, with properties calculated at the meta-GGA SCAN level.

Lattice parameters (Å, degrees): 6.0112 6.0112 6.0112 60.00 60.00 60.00
Closest atoms and distances in Å follow each position.
Element x y z (fractional)
1 Sr 0.0000 0.0000 0.0000  12 Hg 3.52, 4 In 3.68
2 In 0.7500 0.7500 0.7500  12 Hg 3.52, 4 Sr 3.68
3 Hg 0.3751 0.3751 0.3751  6 Hg 3.00-3.01
4 Hg 0.3751 0.3751 0.8746  6 Hg 3.00-3.01
5 Hg 0.3751 0.8746 0.3751  6 Hg 3.00-3.01
6 Hg 0.8746 0.3751 0.3751  6 Hg 3.00-3.01

DFT formation energy ... -0.2546 eV/atom
Space-group type ... F-43m (216)
D(E_F) ... 1.586 states/eV per cell

---

(2)
Below is a PBEsol-optimized structure of SrInHg3, with properties calculated at the meta-GGA SCAN level.

Lattice parameters (Å, degrees): 5.9038 5.9038 5.9038 90.00 90.00 90.00
Closest atoms and distances in Å follow each position.
Element x y z (fractional)
1 Sr 0.0000 0.0000 0.0000  6 Hg 2.95
2 In 0.5000 0.5000 0.5000  12 Hg 4.17
3 Hg 0.0000 0.0000 0.5000  2 Sr 2.95
4 Hg 0.0000 0.5000 0.0000  2 Sr 2.95
5 Hg 0.5000 0.0000 0.0000  2 Sr 2.95

DFT formation energy ... 0.3324 eV/atom
Space-group type ... Pm-3m (221)
D(E_F) ... 6.435 states/eV per cell

---

(3)
Below is a PBEsol-optimized structure of TaIn2Hg, with properties calculated at the meta-GGA SCAN level.

Lattice parameters (Å, degrees): 5.7753 5.7753 5.2405 114.68 114.68 30.95
Closest atoms and distances in Å follow each position.
Element x y z (fractional)
1 Ta 0.0000 0.0000 0.0000  7 In 2.93-3.16, 3 Hg 2.99-3.21, 2 Ta 3.08
2 In 0.2577 0.2577 0.9368  3 Ta 3.00-3.03, 5 In 3.03-3.22, 4 Hg 3.03-3.07
3 In 0.4912 0.4912 0.5170  4 Ta 2.93-3.16, 3 Hg 2.94-3.11, 5 In 3.03-3.22
4 Hg 0.7322 0.7322 0.4186  7 In 2.94-3.11, 3 Ta 2.99-3.21, 2 Hg 3.08

DFT formation energy ... 0.1780 eV/atom
Space-group type ... Cm (8)
D(E_F) ... 0.992 states/eV per cell

---

Q: What is the formula in the second record?
A: SrInHg3